Computed, not measured: an optimized crystal structure of KHgTe2 at the PBE level of DFT.

POSCAR file:
```
KHgTe2
1.0
-1.562 0.326 -2.850
-1.950 -2.499 0.787
-7.940 7.849 5.250
Hg K Te
1 1 2
direct
0.500 0.500 0.250
0.500 0.500 0.750
0.000 0.000 0.970
0.000 0.000 0.530
```

Calculated values
- ΔE_f (raw): -271 meV/atom
- Energy: -8.77 eV for the cell shown
- Space-group type: P4/mmm (123)

---

Computed, not measured: an optimized crystal structure of K4Hg2Te at the PBE level of DFT.

POSCAR file:
```
K4Hg2Te
1.0
6.691 0.000 0.000
0.000 6.691 0.000
3.345 3.345 8.563
K Te Hg
4 1 2
direct
0.804 0.804 0.392
0.196 0.196 0.608
0.000 0.500 0.000
0.500 0.000 0.000
0.000 0.000 0.000
0.594 0.594 0.813
0.406 0.406 0.187
```

Calculated values
- ΔE_f (raw): -417 meV/atom
- Energy: -11.05 eV for the cell shown
- Space-group type: I4/mmm (139)

---

Computed, not measured: an optimized crystal structure of KHgTe2 at the PBE level of DFT.

POSCAR file:
```
KHgTe2
1.0
-4.376 -1.132 4.077
0.445 -4.546 -0.785
3.191 -0.266 3.351
Hg K Te
1 1 2
direct
0.500 0.500 0.000
0.500 0.000 0.500
0.000 0.000 0.000
0.000 0.500 0.500
```

Calculated values
- ΔE_f (raw): -346 meV/atom
- Energy: -9.06 eV for the cell shown
- Space-group type: P4/mmm (123)

---

Computed, not measured: an optimized crystal structure of K2HgTe3 at the PBE level of DFT.

POSCAR file:
```
K2HgTe3
1.0
-3.302 4.487 -5.822
-4.411 -5.593 3.768
-3.354 8.165 8.195
K Hg Te
4 2 6
direct
0.000 0.000 0.000
0.667 0.333 0.252
0.000 0.000 0.500
0.333 0.667 0.748
0.333 0.667 0.251
0.667 0.333 0.749
0.136 0.272 0.250
0.728 0.864 0.250
0.136 0.864 0.250
0.864 0.728 0.750
0.864 0.136 0.750
0.272 0.136 0.750
```

Calculated values
- ΔE_f (raw): -419 meV/atom
- Energy: -28.87 eV for the cell shown
- Space-group type: P-3m1 (164)

---

Computed, not measured: an optimized crystal structure of KHgTe4 at the PBE level of DFT.

POSCAR file:
```
KHgTe4
1.0
0.000 4.646 4.646
4.646 0.000 4.646
4.646 4.646 0.000
K Hg Te
1 1 4
direct
0.000 0.000 0.000
0.750 0.750 0.750
0.872 0.376 0.376
0.376 0.376 0.872
0.376 0.872 0.376
0.376 0.376 0.376
```

Calculated values
- ΔE_f (raw): -154 meV/atom
- Energy: -14.89 eV for the cell shown
- Space-group type: F-43m (216)

---

Computed, not measured: an optimized crystal structure of KHgTe2 at the PBE level of DFT.

POSCAR file:
```
KHgTe2
1.0
-3.322 1.587 2.444
-2.603 -3.282 -1.408
2.299 -4.383 5.970
Hg K Te
1 1 2
direct
0.000 0.000 0.496
0.500 0.500 0.734
0.000 0.000 0.100
0.500 0.500 0.169
```

Calculated values
- ΔE_f (raw): -323 meV/atom
- Energy: -8.97 eV for the cell shown
- Space-group type: P4mm (99)

---

Computed, not measured: an optimized crystal structure of KHgTe2 at the PBE level of DFT.

POSCAR file:
```
KHgTe2
1.0
3.291 0.000 0.000
0.000 5.937 0.000
0.000 0.000 6.663
Hg K Te
1 1 2
direct
0.500 0.500 0.250
0.500 0.500 0.750
0.000 0.000 0.979
0.000 0.000 0.521
```

Calculated values
- ΔE_f (raw): -303 meV/atom
- Energy: -8.89 eV for the cell shown
- Space-group type: Pmmm (47)

---

Computed, not measured: an optimized crystal structure of KHgTe2 at the PBE level of DFT.

POSCAR file:
```
KHgTe2
1.0
6.215 0.000 0.000
0.000 3.325 0.001
0.000 -0.002 6.215
Hg K Te
1 1 2
direct
0.000 0.250 0.375
0.500 0.750 0.875
0.000 0.250 0.875
0.500 0.250 0.375
```

Calculated values
- ΔE_f (raw): -369 meV/atom
- Energy: -9.16 eV for the cell shown
- Space-group type: P4/mmm (123)